# 1
DFT (PBE-GGA) results for a relaxed structure of HfTl2PbBr6.

```
10
Lattice="4.693 -5.131 4.043 -3.161 -4.686 5.723 -0.711 -7.918 -1.223" Properties=species:S:1:pos:R:3 pbc="T T T"
Br 2.703 -6.868 4.149
Br -1.501 -6.629 5.048
Br 1.011 -9.376 7.212
Br -0.190 -8.359 1.330
Br 2.322 -11.106 3.494
Br -1.881 -10.867 4.393
Hf 0.000 0.000 0.000
Pb 0.411 -8.868 4.271
Tl 0.205 -4.434 2.136
Tl 0.616 -13.301 6.407
```

Properties
- electronic total energy (eV per atom) = -3.5996
- total magnetization (μB/atom) = 0.104
- crystal system = cubic

# 2
DFT (PBE-GGA) results for a relaxed structure of Rb2HfPtBr6.

```
10
Lattice="0.000 5.427 5.427 5.427 0.000 5.427 5.427 5.427 0.000" Properties=species:S:1:pos:R:3 pbc="T T T"
Br 2.650 5.427 5.427
Br 5.427 2.650 5.427
Br 5.427 5.427 8.205
Br 5.427 5.427 2.650
Br 5.427 8.205 5.427
Br 8.205 5.427 5.427
Hf 0.000 0.000 0.000
Pt 5.427 5.427 5.427
Rb 2.714 2.714 2.714
Rb 8.141 8.141 8.141
```

Properties
- electronic total energy (eV per atom) = -3.8724
- total magnetization (μB/atom) = 0.000
- crystal system = cubic

# 3
DFT (PBE-GGA) results for a relaxed structure of RbHfTl2Br6.

```
10
Lattice="1.710 -2.200 7.727 -3.741 -6.504 3.342 4.248 -6.876 1.469" Properties=species:S:1:pos:R:3 pbc="T T T"
Br 1.438 -4.728 7.068
Br -1.548 -7.086 4.666
Br -0.612 -8.291 8.899
Br 2.828 -7.289 3.639
Br 3.765 -8.494 7.872
Br 0.779 -10.852 5.470
Hf 0.000 0.000 0.000
Rb 1.108 -7.790 6.269
Tl 0.554 -3.895 3.135
Tl 1.662 -11.685 9.404
```

Properties
- electronic total energy (eV per atom) = -3.6518
- total magnetization (μB/atom) = 0.097
- crystal system = cubic

# 4
DFT (PBE-GGA) results for a relaxed structure of HfSe2S2Br6.

```
11
Lattice="7.569 0.000 0.000 3.634 6.792 0.000 3.669 2.070 7.255" Properties=species:S:1:pos:R:3 pbc="T T T"
Br 3.189 4.561 1.341
Br 2.079 0.610 1.521
Br 6.021 1.321 1.591
Br 8.851 7.542 5.664
Br 12.794 8.253 5.735
Br 11.684 4.302 5.915
Hf 0.000 0.000 0.000
S 6.084 5.149 3.598
S 8.788 3.714 3.658
Se 7.901 5.245 2.336
Se 6.972 3.618 4.920
```

Properties
- electronic total energy (eV per atom) = -3.8478
- total magnetization (μB/atom) = 0.000
- crystal system = triclinic

# 5
DFT (PBE-GGA) results for a relaxed structure of HfTl2SnBr6.

```
10
Lattice="0.000 5.673 5.673 5.673 0.000 5.673 5.673 5.673 0.000" Properties=species:S:1:pos:R:3 pbc="T T T"
Br 2.649 5.673 5.673
Br 5.673 2.649 5.673
Br 5.673 5.673 8.697
Br 5.673 5.673 2.649
Br 5.673 8.697 5.673
Br 8.697 5.673 5.673
Hf 0.000 0.000 0.000
Sn 5.673 5.673 5.673
Tl 2.837 2.837 2.837
Tl 8.510 8.510 8.510
```

Properties
- electronic total energy (eV per atom) = -3.5957
- total magnetization (μB/atom) = 0.100
- crystal system = cubic

# 6
DFT (PBE-GGA) results for a relaxed structure of HfTl2Br6.

```
18
Lattice="-5.032 2.154 -5.083 1.322 -6.873 -4.222 -2.636 -6.849 10.325" Properties=species:S:1:pos:R:3 pbc="T T T"
Br -4.052 0.308 -4.540
Br -2.767 -3.743 -6.300
Br -3.951 -0.375 -0.895
Br -1.693 -4.565 -1.280
Br -2.317 -4.103 2.341
Br -1.174 -7.420 1.031
Br -5.172 -4.148 -0.011
Br -4.028 -7.465 -1.320
Br -4.653 -7.003 2.300
Br -2.394 -11.192 1.916
Br -3.578 -7.825 7.321
Br -2.293 -11.876 5.560
Hf -2.516 1.077 -2.542
Hf -3.173 -5.784 0.510
Tl -0.592 -7.473 -2.457
Tl -4.006 -2.902 -3.056
Tl -2.339 -8.666 4.076
Tl -5.754 -4.095 3.477
```

Properties
- electronic total energy (eV per atom) = -3.9544
- total magnetization (μB/atom) = 0.001
- crystal system = monoclinic

Repeat the second record exactly.
DFT (PBE-GGA) results for a relaxed structure of Rb2HfPtBr6.

```
10
Lattice="0.000 5.427 5.427 5.427 0.000 5.427 5.427 5.427 0.000" Properties=species:S:1:pos:R:3 pbc="T T T"
Br 2.650 5.427 5.427
Br 5.427 2.650 5.427
Br 5.427 5.427 8.205
Br 5.427 5.427 2.650
Br 5.427 8.205 5.427
Br 8.205 5.427 5.427
Hf 0.000 0.000 0.000
Pt 5.427 5.427 5.427
Rb 2.714 2.714 2.714
Rb 8.141 8.141 8.141
```

Properties
- electronic total energy (eV per atom) = -3.8724
- total magnetization (μB/atom) = 0.000
- crystal system = cubic